[1]
Computed, not measured: a crystal of La2CdSb relaxed with PBEsol at the meta-GGA SCAN level of DFT.

Unit cell a=5.390 b=5.390 c=5.390 alpha=60.00 beta=60.00 gamma=60.00
Fractional coordinates of all 4 atoms:
La  0.750  0.750  0.750
La  0.000  0.000  0.000
Cd  0.500  0.500  0.500
Sb  0.250  0.250  0.250

magnetization: 0.00 μB/f.u.
E above lowest polymorph: 627 meV/atom
uncorrected formation energy: -0.229 eV per atom
space-group type: F-43m (216)

[2]
Computed, not measured: a crystal of La2CdSb relaxed with PBEsol at the meta-GGA SCAN level of DFT.

Unit cell a=4.579 b=4.481 c=6.363 alpha=90.00 beta=111.09 gamma=90.00
Each line ends with the local moment (μB).
Fractional coordinates of all 4 atoms:
Cd  0.709  0.000  0.419  -0.02
La  0.984  0.000  0.968  -0.16
Sb  0.542  0.500  0.084  0.03
La  0.265  0.500  0.529  -0.17

magnetization: 0.98 μB/f.u.
E above lowest polymorph: 0 meV/atom
uncorrected formation energy: -0.856 eV per atom
space-group type: Amm2 (38)